ErScTlZn after structural relaxation, computed with PBE-GGA.

Final energy, eV for the cell shown: -15.7
Total magnetization, μB per cell: 0.03
Energy of formation from the pure elements, eV/atom: -0.298
SG: F-43m

Cell: 5.060 5.060 5.060 Å, 60.00 60.00 60.00°
Fractional coordinates of all 4 atoms:
Er 0.000 0.000 0.000
Sc 0.500 0.500 0.500
Tl 0.750 0.750 0.750
Zn 0.250 0.250 0.250